Entry 1:
Here is Al3CuSe at its PBEsol-relaxed geometry from Alexandria. Energies are from meta-GGA SCAN.

Total magnetic moment in μB/f.u.: 0.00
Raw total energy in eV per atom: -10.74
N(E_F) in states/eV/cell: 1.6
Formation energy without anion corrections in eV/f.u.: 4.824

```
Al3CuSe
1.0
4.885 0.000 0.000
0.000 4.885 0.000
0.000 0.000 4.885
Al Se Cu
3 1 1
Direct
0.000 0.000 0.500 Al
0.000 0.500 0.000 Al
0.500 0.000 0.000 Al
0.000 0.000 0.000 Se
0.500 0.500 0.500 Cu
```

---

Entry 2:
Here is Al2CuSe at its PBEsol-relaxed geometry from Alexandria. Energies are from meta-GGA SCAN.

Total magnetic moment in μB/f.u.: 0.00
Raw total energy in eV per atom: -12.77
N(E_F) in states/eV/cell: 1.1
Formation energy without anion corrections in eV/f.u.: -0.305

```
Al2CuSe
1.0
3.417 0.000 0.000
1.708 2.959 0.000
1.708 0.986 6.870
Cu Al Se
1 2 1
Direct
0.501 0.501 0.497 Cu
0.758 0.758 0.727 Al
0.992 0.992 0.024 Al
0.250 0.250 0.251 Se
```

---

Entry 3:
Here is AlCu2Si3 at its PBEsol-relaxed geometry from Alexandria. Energies are from meta-GGA SCAN.

Total magnetic moment in μB/f.u.: 0.00
Raw total energy in eV per atom: -10.98
N(E_F) in states/eV/cell: 2.2
Formation energy without anion corrections in eV/f.u.: 2.300

```
AlCu2Si3
1.0
4.044 0.000 0.000
0.000 5.014 0.000
0.000 -2.507 4.342
Si Al Cu
3 1 2
Direct
0.500 0.500 0.500 Si
0.500 0.000 0.500 Si
0.500 0.500 0.000 Si
0.000 0.000 0.000 Al
0.000 0.667 0.333 Cu
0.000 0.333 0.667 Cu
```

---

Entry 4:
Here is AlCuSi2 at its PBEsol-relaxed geometry from Alexandria. Energies are from meta-GGA SCAN.

Total magnetic moment in μB/f.u.: 0.00
Raw total energy in eV per atom: -10.37
N(E_F) in states/eV/cell: 2.1
Formation energy without anion corrections in eV/f.u.: 1.504

```
AlCuSi2
1.0
4.294 0.000 0.000
2.147 3.719 0.000
2.147 1.240 3.506
Al Cu Si
1 1 2
Direct
0.500 0.500 0.500 Al
0.250 0.250 0.250 Cu
0.000 0.000 0.000 Si
0.750 0.750 0.750 Si
```

---

Entry 5:
Here is Al2CuSi3 at its PBEsol-relaxed geometry from Alexandria. Energies are from meta-GGA SCAN.

Total magnetic moment in μB/f.u.: 0.00
Raw total energy in eV per atom: -9.85
N(E_F) in states/eV/cell: 2.4
Formation energy without anion corrections in eV/f.u.: 1.677

```
Al2CuSi3
1.0
-3.074 -0.330 2.574
-2.115 -1.278 -2.690
3.179 -5.225 -0.017
Al Si Cu
2 3 1
Direct
0.834 0.500 0.669 Al
0.166 0.500 0.331 Al
0.657 0.000 0.314 Si
0.500 0.500 0.000 Si
0.343 0.000 0.686 Si
0.000 0.000 0.000 Cu
```

---

Entry 6:
Here is AlCuSi at its PBEsol-relaxed geometry from Alexandria. Energies are from meta-GGA SCAN.

Total magnetic moment in μB/f.u.: 0.00
Raw total energy in eV per atom: -10.85
N(E_F) in states/eV/cell: 0.9
Formation energy without anion corrections in eV/f.u.: 0.426

```
AlCuSi
1.0
-3.019 -0.999 -0.579
0.545 -3.051 2.426
-1.395 3.404 1.401
Al Cu Si
1 1 1
Direct
0.500 0.667 0.333 Al
0.000 0.000 0.000 Cu
0.000 0.333 0.667 Si
```

---

Entry 7:
Here is AlCuSi at its PBEsol-relaxed geometry from Alexandria. Energies are from meta-GGA SCAN.

Total magnetic moment in μB/f.u.: 0.00
Raw total energy in eV per atom: -10.86
N(E_F) in states/eV/cell: 1.1
Formation energy without anion corrections in eV/f.u.: 0.389

```
AlCuSi
1.0
2.675 0.000 0.000
0.000 3.664 0.000
-1.337 -1.832 4.168
Al Si Cu
1 1 1
Direct
0.004 0.004 0.009 Al
0.324 0.324 0.648 Si
0.672 0.672 0.344 Cu
```

---

Entry 8:
Here is AlCu2Si at its PBEsol-relaxed geometry from Alexandria. Energies are from meta-GGA SCAN.

Total magnetic moment in μB/f.u.: 0.00
Raw total energy in eV per atom: -12.01
N(E_F) in states/eV/cell: 1.2
Formation energy without anion corrections in eV/f.u.: 0.137

```
AlCu2Si
1.0
-1.229 0.369 -2.333
-1.947 -1.646 0.765
-3.641 5.613 2.806
Cu Al Si
2 1 1
Direct
0.000 0.000 0.749 Cu
0.000 0.000 0.251 Cu
0.500 0.500 0.500 Al
0.500 0.500 0.000 Si
```

---

Entry 9:
Here is AlCuSi at its PBEsol-relaxed geometry from Alexandria. Energies are from meta-GGA SCAN.

Total magnetic moment in μB/f.u.: 0.00
Raw total energy in eV per atom: -10.82
N(E_F) in states/eV/cell: 2.8
Formation energy without anion corrections in eV/f.u.: 0.519

```
AlCuSi
1.0
3.487 0.000 0.000
0.000 6.464 0.000
0.000 -3.232 5.715
Al Si Cu
3 3 3
Direct
0.500 0.141 0.000 Al
0.000 0.563 0.282 Al
0.000 0.281 0.718 Al
0.500 0.950 0.371 Si
0.500 0.578 0.629 Si
0.500 0.561 0.000 Si
0.000 0.817 0.000 Cu
0.000 0.218 0.328 Cu
0.000 0.890 0.672 Cu
```

---

Entry 10:
Here is AlCu3Si at its PBEsol-relaxed geometry from Alexandria. Energies are from meta-GGA SCAN.

Total magnetic moment in μB/f.u.: 0.00
Raw total energy in eV per atom: -12.80
N(E_F) in states/eV/cell: 3.3
Formation energy without anion corrections in eV/f.u.: -0.617

```
AlCu3Si
1.0
5.710 0.000 0.000
0.000 5.710 0.000
0.000 0.000 5.710
Cu Si Al
9 3 3
Direct
0.234 0.234 0.234 Cu
0.766 0.766 0.234 Cu
0.766 0.234 0.234 Cu
0.234 0.234 0.766 Cu
0.500 0.500 0.500 Cu
0.766 0.234 0.766 Cu
0.234 0.766 0.766 Cu
0.766 0.766 0.766 Cu
0.234 0.766 0.234 Cu
0.500 0.000 0.000 Si
0.000 0.000 0.500 Si
0.000 0.500 0.000 Si
0.500 0.000 0.500 Al
0.500 0.500 0.000 Al
0.000 0.500 0.500 Al
```

---

Entry 11:
Here is Al2Cu3Si at its PBEsol-relaxed geometry from Alexandria. Energies are from meta-GGA SCAN.

Total magnetic moment in μB/f.u.: 0.00
Raw total energy in eV per atom: -11.94
N(E_F) in states/eV/cell: 2.1
Formation energy without anion corrections in eV/f.u.: -0.521

```
Al2Cu3Si
1.0
3.662 0.000 0.000
0.000 3.687 0.000
0.000 1.843 5.717
Cu Si Al
3 1 2
Direct
0.000 0.668 0.665 Cu
0.000 0.332 0.335 Cu
0.500 0.500 0.000 Cu
0.000 0.000 0.000 Si
0.500 0.837 0.326 Al
0.500 0.163 0.674 Al
```

---

Entry 12:
Here is AlCu2Si8 at its PBEsol-relaxed geometry from Alexandria. Energies are from meta-GGA SCAN.

Total magnetic moment in μB/f.u.: 0.00
Raw total energy in eV per atom: -10.26
N(E_F) in states/eV/cell: 4.9
Formation energy without anion corrections in eV/f.u.: 5.454

```
AlCu2Si8
1.0
3.660 0.000 0.000
0.000 3.660 0.000
0.000 0.000 11.846
Si Al Cu
8 1 2
Direct
0.000 0.500 0.839 Si
0.000 0.500 0.500 Si
0.500 0.000 0.161 Si
0.500 0.500 0.329 Si
0.500 0.000 0.839 Si
0.000 0.500 0.161 Si
0.500 0.500 0.671 Si
0.500 0.000 0.500 Si
0.000 0.000 0.000 Al
0.000 0.000 0.326 Cu
0.000 0.000 0.674 Cu
```

---

Entry 13:
Here is AlCuSi3 at its PBEsol-relaxed geometry from Alexandria. Energies are from meta-GGA SCAN.

Total magnetic moment in μB/f.u.: 0.00
Raw total energy in eV per atom: -9.30
N(E_F) in states/eV/cell: 2.0
Formation energy without anion corrections in eV/f.u.: 6.517

```
AlCuSi3
1.0
-2.380 1.839 3.538
-1.728 -4.189 1.015
3.593 -0.796 2.831
Al Cu Si
1 1 3
Direct
0.000 0.000 0.000 Al
0.500 0.500 0.500 Cu
0.500 0.000 0.000 Si
0.000 0.000 0.500 Si
0.000 0.500 0.000 Si
```

---

Entry 14:
Here is AlCuSi2 at its PBEsol-relaxed geometry from Alexandria. Energies are from meta-GGA SCAN.

Total magnetic moment in μB/f.u.: 0.10
Raw total energy in eV per atom: -10.33
N(E_F) in states/eV/cell: 1.8
Formation energy without anion corrections in eV/f.u.: 1.665

```
AlCuSi2
1.0
-0.923 2.363 0.911
0.712 -1.931 1.741
8.562 3.288 0.143
Si Al Cu
2 1 1
Direct
0.000 0.000 0.254 Si
0.000 0.000 0.746 Si
0.667 0.333 0.500 Al
0.000 0.000 0.000 Cu
```

---

Entry 15:
Here is Al5Cu2Si at its PBEsol-relaxed geometry from Alexandria. Energies are from meta-GGA SCAN.

Total magnetic moment in μB/f.u.: 0.00
Raw total energy in eV per atom: -9.96
N(E_F) in states/eV/cell: 2.7
Formation energy without anion corrections in eV/f.u.: -0.523

```
Al5Cu2Si
1.0
3.915 0.000 0.000
0.000 3.915 0.000
-1.958 -1.958 7.447
Cu Al Si
2 5 1
Direct
0.750 0.750 0.499 Cu
0.250 0.250 0.501 Cu
0.637 0.137 0.275 Al
0.363 0.863 0.725 Al
0.500 0.500 0.000 Al
0.137 0.637 0.275 Al
0.863 0.363 0.725 Al
0.000 0.000 0.000 Si
```

---

Entry 16:
Here is AlCu2Si4 at its PBEsol-relaxed geometry from Alexandria. Energies are from meta-GGA SCAN.

Total magnetic moment in μB/f.u.: 0.00
Raw total energy in eV per atom: -10.71
N(E_F) in states/eV/cell: 2.1
Formation energy without anion corrections in eV/f.u.: 3.251

```
AlCu2Si4
1.0
-0.939 -3.708 -1.152
2.627 0.568 2.955
-6.850 -0.166 6.121
Cu Si Al
2 4 1
Direct
0.667 0.333 0.830 Cu
0.333 0.667 0.170 Cu
0.667 0.333 0.079 Si
0.333 0.667 0.921 Si
0.667 0.333 0.585 Si
0.333 0.667 0.415 Si
0.000 0.000 0.500 Al
```

---

Entry 17:
Here is AlCuSi at its PBEsol-relaxed geometry from Alexandria. Energies are from meta-GGA SCAN.

Total magnetic moment in μB/f.u.: 0.00
Raw total energy in eV per atom: -10.88
N(E_F) in states/eV/cell: 1.2
Formation energy without anion corrections in eV/f.u.: 0.316

```
AlCuSi
1.0
2.708 0.000 0.000
0.000 2.708 0.000
-1.354 -1.354 5.538
Al Cu Si
1 1 1
Direct
0.010 0.010 0.020 Al
0.668 0.668 0.336 Cu
0.322 0.322 0.644 Si
```

---

Entry 18:
Here is SmAl8Cu4 at its PBEsol-relaxed geometry from Alexandria. Energies are from meta-GGA SCAN.

Total magnetic moment in μB/f.u.: 0.00
Raw total energy in eV per atom: -13.26
N(E_F) in states/eV/cell: 3.1
Formation energy in meV/atom: -394

```
SmAl8Cu4
1.0
-2.825 3.197 -2.811
-5.393 -2.974 -2.604
-4.678 3.125 3.614
Al Cu Sm
8 4 1
Direct
0.720 0.780 0.780 Al
0.000 0.348 0.652 Al
0.500 0.780 0.220 Al
0.348 0.652 0.652 Al
0.280 0.220 0.220 Al
0.652 0.348 0.348 Al
0.500 0.220 0.780 Al
0.000 0.652 0.348 Al
0.500 0.500 0.000 Cu
0.000 0.000 0.500 Cu
0.500 0.000 0.500 Cu
0.000 0.500 0.000 Cu
0.000 0.000 0.000 Sm
```

---

Entry 19:
Here is SmAl3Cu at its PBEsol-relaxed geometry from Alexandria. Energies are from meta-GGA SCAN.

Total magnetic moment in μB/f.u.: 0.01
Raw total energy in eV per atom: -17.12
N(E_F) in states/eV/cell: 1.4
Formation energy in meV/atom: -538

```
SmAl3Cu
1.0
-2.112 -2.423 2.631
1.713 -3.367 -1.726
4.186 3.159 2.990
Al Cu Sm
3 1 1
Direct
0.759 0.259 0.518 Al
0.259 0.759 0.518 Al
0.599 0.599 0.197 Al
0.377 0.377 0.754 Cu
0.007 0.007 0.013 Sm
```

---

Entry 20:
Here is SmAlCu4 at its PBEsol-relaxed geometry from Alexandria. Energies are from meta-GGA SCAN.

Total magnetic moment in μB/f.u.: 0.00
Raw total energy in eV per atom: -19.12
N(E_F) in states/eV/cell: 3.4
Formation energy in meV/atom: -285

```
SmAlCu4
1.0
-3.798 -1.061 -0.548
0.905 -4.469 2.375
-1.534 4.089 2.714
Sm Cu Al
1 4 1
Direct
0.000 0.333 0.667 Sm
0.500 0.336 0.168 Cu
0.500 0.832 0.664 Cu
0.000 0.667 0.333 Cu
0.500 0.832 0.168 Cu
0.000 0.000 0.000 Al
```

---

Entry 21:
Here is AlCuSn3 at its PBEsol-relaxed geometry from Alexandria. Energies are from meta-GGA SCAN.

Total magnetic moment in μB/f.u.: 0.00
Raw total energy in eV per atom: -25.64
N(E_F) in states/eV/cell: 2.9
Formation energy in meV/atom: 501

```
AlCuSn3
1.0
5.005 0.000 0.000
0.000 5.005 0.000
0.000 0.000 5.005
Sn Al Cu
3 1 1
Direct
0.000 0.500 0.000 Sn
0.500 0.000 0.000 Sn
0.000 0.000 0.500 Sn
0.500 0.500 0.500 Al
0.000 0.000 0.000 Cu
```

---

Entry 22:
Here is Sr2AlCu at its PBEsol-relaxed geometry from Alexandria. Energies are from meta-GGA SCAN.

Total magnetic moment in μB/f.u.: 0.00
Raw total energy in eV per atom: -16.99
N(E_F) in states/eV/cell: 2.3
Formation energy in meV/atom: -119

```
Sr2AlCu
1.0
-3.393 -2.198 -1.363
0.005 -2.628 4.226
-3.370 5.063 0.223
Al Sr Cu
1 2 1
Direct
0.000 0.800 0.599 Al
0.500 0.398 0.796 Sr
0.000 0.107 0.214 Sr
0.500 0.695 0.391 Cu
```

---

Entry 23:
Here is SrAl2Cu2 at its PBEsol-relaxed geometry from Alexandria. Energies are from meta-GGA SCAN.

Total magnetic moment in μB/f.u.: 0.01
Raw total energy in eV per atom: -13.92
N(E_F) in states/eV/cell: 2.7
Formation energy in meV/atom: -281

```
SrAl2Cu2
1.0
4.135 0.000 0.000
0.000 4.135 0.000
-2.067 -2.067 5.450
Cu Al Sr
2 2 1
Direct
0.381 0.381 0.761 Cu
0.619 0.619 0.239 Cu
0.750 0.250 0.500 Al
0.250 0.750 0.500 Al
0.000 0.000 0.000 Sr
```

---

Entry 24:
Here is SrAl3Cu at its PBEsol-relaxed geometry from Alexandria. Energies are from meta-GGA SCAN.

Total magnetic moment in μB/f.u.: 0.00
Raw total energy in eV per atom: -12.16
N(E_F) in states/eV/cell: 3.2
Formation energy in meV/atom: -10

```
SrAl3Cu
1.0
4.714 0.000 0.000
0.000 4.714 0.000
0.000 0.000 4.714
Al Cu Sr
3 1 1
Direct
0.000 0.500 0.000 Al
0.000 0.000 0.500 Al
0.500 0.000 0.000 Al
0.000 0.000 0.000 Cu
0.500 0.500 0.500 Sr
```

---

Entry 25:
Here is SrAlCu2 at its PBEsol-relaxed geometry from Alexandria. Energies are from meta-GGA SCAN.

Total magnetic moment in μB/f.u.: 0.00
Raw total energy in eV per atom: -14.90
N(E_F) in states/eV/cell: 1.8
Formation energy in meV/atom: 210

```
SrAlCu2
1.0
-1.232 3.110 0.374
-2.985 -1.631 3.729
5.353 0.185 0.950
Cu Al Sr
2 1 1
Direct
0.704 0.204 0.409 Cu
0.007 0.007 0.013 Cu
0.294 0.794 0.587 Al
0.495 0.495 0.991 Sr
```

---

Entry 26:
Here is SrAlCu2 at its PBEsol-relaxed geometry from Alexandria. Energies are from meta-GGA SCAN.

Total magnetic moment in μB/f.u.: 0.00
Raw total energy in eV per atom: -14.79
N(E_F) in states/eV/cell: 1.7
Formation energy in meV/atom: 318

```
SrAlCu2
1.0
-0.920 0.279 -4.302
-0.089 -4.533 1.984
-3.982 -1.742 0.739
Al Cu Sr
1 2 1
Direct
0.750 0.500 0.750 Al
0.250 0.500 0.250 Cu
0.000 0.000 0.000 Cu
0.500 0.000 0.500 Sr
```

---

Entry 27:
Here is SrAl3Cu at its PBEsol-relaxed geometry from Alexandria. Energies are from meta-GGA SCAN.

Total magnetic moment in μB/f.u.: 0.00
Raw total energy in eV per atom: -10.20
N(E_F) in states/eV/cell: 5.6
Formation energy in meV/atom: 1942

```
SrAl3Cu
1.0
5.680 0.000 0.000
0.000 5.680 0.000
0.000 0.000 5.680
Cu Sr Al
1 1 3
Direct
0.500 0.500 0.500 Cu
0.000 0.000 0.000 Sr
0.000 0.500 0.000 Al
0.000 0.000 0.500 Al
0.500 0.000 0.000 Al
```

---

Entry 28:
Here is TaAlCu2 at its PBEsol-relaxed geometry from Alexandria. Energies are from meta-GGA SCAN.

Total magnetic moment in μB/f.u.: 0.00
Raw total energy in eV per atom: -26.36
N(E_F) in states/eV/cell: 2.3
Formation energy in meV/atom: -181

```
TaAlCu2
1.0
2.823 0.000 0.000
0.000 2.823 0.000
0.000 0.000 6.839
Al Ta Cu
1 1 2
Direct
0.500 0.500 0.500 Al
0.500 0.500 0.000 Ta
0.000 0.000 0.727 Cu
0.000 0.000 0.273 Cu
```